RbAg3Te4Pb (PBE, relaxed); uncorrected energy = -2.96 eV per atom; crystal system = cubic
1.0
7.093 0.000 0.000
0.000 7.093 0.000
0.000 0.000 7.093
Rb Ag Te Pb
1 3 4 1
direct
0.000 0.000 0.000
0.000 0.500 0.500
0.500 0.000 0.500
0.500 0.500 0.000
0.272 0.272 0.272
0.272 0.728 0.728
0.728 0.272 0.728
0.728 0.728 0.272
0.500 0.500 0.500